{"formula": "TiNb2AlC", "functional": "PBE", "state": "optimized geometry", "delta_e_f_mev_per_atom": -342, "lattice_angstrom": [[4.367, 0.000, 0.000], [0.000, 4.367, 0.000], [0.000, 0.000, 4.063]], "species": ["Ti", "Nb", "Nb", "Al", "C"], "frac_coords": [[0.000, 0.000, 0.000], [0.000, 0.500, 0.500], [0.500, 0.000, 0.500], [0.500, 0.500, 0.000], [0.000, 0.000, 0.500]]}